[1]
## Tl2BC (PBE-GGA)

Data for a relaxed Tl2BC crystal.

## Properties
- energy relative to the lowest polymorph listed for this composition (meV/atom) = 0
- space group = No. 122

POSCAR file:
```
Tl2BC
1.0
-2.789 2.789 5.092
2.789 -2.789 5.092
2.789 2.789 -5.092
Tl B C
4 2 2
Cartesian
4.184 1.316 -1.273
1.316 1.395 1.273
-1.395 1.474 3.819
1.474 1.395 6.365
2.789 0.000 2.546
0.000 0.000 5.092
0.000 0.000 0.000
0.000 2.789 2.546
```

[2]
## TlB2C (PBE-GGA)

Data for a relaxed TlB2C crystal.

## Properties
- energy relative to the lowest polymorph listed for this composition (meV/atom) = 0
- space group = No. 122

POSCAR file:
```
TlB2C
1.0
-2.423 2.423 3.991
2.423 -2.423 3.991
2.423 2.423 -3.991
Tl B C
2 4 2
Cartesian
0.000 0.000 0.000
0.000 2.423 1.996
1.211 -0.526 2.993
1.897 1.211 0.998
1.211 2.949 -0.998
0.526 1.211 4.989
2.423 0.000 1.996
0.000 0.000 3.991
```

[3]
## TlBC2 (PBE-GGA)

Data for a relaxed TlBC2 crystal.

## Properties
- energy relative to the lowest polymorph listed for this composition (meV/atom) = 0
- space group = No. 122

POSCAR file:
```
TlBC2
1.0
-2.203 2.203 4.696
2.203 -2.203 4.696
2.203 2.203 -4.696
Tl B C
2 2 4
Cartesian
0.000 0.000 0.000
0.000 2.203 2.348
2.203 0.000 2.348
0.000 0.000 4.696
1.101 -0.408 3.522
1.795 1.101 1.174
1.101 2.610 -1.174
0.408 1.101 5.869
```

[4]
## TlBC3 (PBE-GGA)

Data for a relaxed TlBC3 crystal.

## Properties
- energy relative to the lowest polymorph listed for this composition (meV/atom) = 0
- space group = No. 221

POSCAR file:
```
TlBC3
1.0
3.707 0.000 0.000
0.000 3.707 0.000
0.000 0.000 3.707
Tl B C
1 1 3
Cartesian
0.000 0.000 0.000
1.854 1.854 1.854
0.000 1.854 1.854
1.854 0.000 1.854
1.854 1.854 0.000
```

[5]
## TlBC3 (PBE-GGA)

Data for a relaxed TlBC3 crystal.

## Properties
- energy relative to the lowest polymorph listed for this composition (meV/atom) = 1786
- space group = No. 221

POSCAR file:
```
TlBC3
1.0
4.459 0.000 0.000
0.000 4.459 0.000
0.000 0.000 4.459
Tl B C
1 1 3
Cartesian
0.000 0.000 0.000
2.230 2.230 2.230
0.000 0.000 2.230
0.000 2.230 0.000
2.230 0.000 0.000
```

[6]
## TlB2C (PBE-GGA)

Data for a relaxed TlB2C crystal.

## Properties
- energy relative to the lowest polymorph listed for this composition (meV/atom) = 1993
- space group = No. 225

POSCAR file:
```
TlB2C
1.0
0.000 2.954 2.954
2.954 0.000 2.954
2.954 2.954 0.000
Tl B C
1 2 1
Cartesian
0.000 0.000 0.000
1.477 1.477 1.477
4.432 4.432 4.432
2.954 2.954 2.954
```

[7]
## TlB3C (PBE-GGA)

Data for a relaxed TlB3C crystal.

## Properties
- energy relative to the lowest polymorph listed for this composition (meV/atom) = 1659
- space group = No. 221

POSCAR file:
```
TlB3C
1.0
4.529 0.000 0.000
0.000 4.529 0.000
0.000 0.000 4.529
Tl B C
1 3 1
Cartesian
0.000 0.000 0.000
0.000 0.000 2.265
0.000 2.265 0.000
2.265 0.000 0.000
2.265 2.265 2.265
```

[8]
## TlB2C4 (PBE-GGA)

Data for a relaxed TlB2C4 crystal.

## Properties
- space group = No. 139

POSCAR file:
```
TlB2C4
1.0
-2.200 2.200 4.779
2.200 -2.200 4.779
2.200 2.200 -4.779
Tl B C
1 2 4
Cartesian
0.000 0.000 0.000
0.000 0.000 3.984
0.000 0.000 5.574
2.200 0.000 0.000
0.000 0.000 2.548
0.000 2.200 0.000
0.000 0.000 7.010
```

[9]
## TlBC2 (PBE-GGA)

Data for a relaxed TlBC2 crystal.

## Properties
- energy relative to the lowest polymorph listed for this composition (meV/atom) = 1984
- space group = No. 225

POSCAR file:
```
TlBC2
1.0
0.000 2.878 2.878
2.878 0.000 2.878
2.878 2.878 0.000
Tl B C
1 1 2
Cartesian
0.000 0.000 0.000
2.878 2.878 2.878
1.439 1.439 1.439
4.317 4.317 4.317
```

[10]
## Zr2TlBC (PBE-GGA)

Data for a relaxed Zr2TlBC crystal.

## Properties
- space group = No. 123

POSCAR file:
```
Zr2TlBC
1.0
5.053 0.000 0.000
0.000 5.053 0.000
0.000 0.000 3.088
Zr Tl B C
2 1 1 1
Cartesian
0.000 2.526 0.000
2.526 0.000 0.000
0.000 0.000 1.544
2.526 2.526 1.544
2.526 2.526 0.000
```

[11]
## TmB2C2 (PBE-GGA)

Data for a relaxed TmB2C2 crystal.

## Properties
- space group = No. 166

POSCAR file:
```
TmB2C2
1.0
1.428 0.825 8.414
-1.428 0.825 8.414
0.000 -1.649 8.414
Tm B C
1 2 2
Cartesian
0.000 0.000 0.000
0.000 0.000 6.344
0.000 0.000 18.897
0.000 0.000 10.372
0.000 0.000 14.869
```

[12]
## Tm3B4C2 (PBE-GGA)

Data for a relaxed Tm3B4C2 crystal.

## Properties
- space group = No. 12

POSCAR file:
```
Tm3B4C2
1.0
4.785 -1.520 0.000
4.785 1.520 0.000
-1.709 0.000 7.121
Tm B C
3 4 2
Cartesian
0.000 0.000 0.000
2.425 0.000 2.364
5.438 0.000 4.757
-0.276 0.000 2.843
0.814 0.000 6.930
7.048 0.000 0.191
8.138 0.000 4.278
2.869 0.000 4.837
4.993 0.000 2.284
```

The evaluated formation energy for the records listed, in turn: 668; 344; 485; 1273; 2135; 1113; 1809; 1902; 1250; -4; 13; -371 kJ/mol of formula units.
The evaluated uncorrected energy for the records listed, in turn: -13.71; -21.38; -22.47; -23.52; -14.59; -13.41; -12.87; -32.91; -14.53; -35.40; -36.14; -62.41 eV/f.u..